DFT (PBE) results for La2Sb2Te after structural relaxation.

Summary:
* relative energy among the computed polymorphs: 0.185 eV per atom
* uncorrected formation energy: -0.922 eV per atom

Lattice parameters (Å, degrees): 6.5280 6.5280 6.5280 124.78 124.78 81.90
Element x y z (fractional)
La1 0.2500 0.7500 0.5000
La2 0.7500 0.2500 0.5000
Sb1 0.1441 0.1441 0.0000
Sb2 0.8559 0.8559 0.0000
Te1 0.5000 0.5000 0.0000

---

DFT (PBE) results for La2YTm9 after structural relaxation.

Summary:
* energy relative to the elements: 0.038 eV/atom

Lattice parameters (Å, degrees): 5.0084 5.0084 15.0486 90.00 90.00 90.00
Element x y z (fractional)
La1 0.0000 0.0000 0.1661
La2 0.0000 0.0000 0.8339
Y1 0.0000 0.0000 0.5000
Tm1 0.0000 0.5000 0.0000
Tm2 0.0000 0.5000 0.3367
Tm3 0.0000 0.5000 0.6633
Tm4 0.5000 0.0000 0.0000
Tm5 0.5000 0.0000 0.3367
Tm6 0.5000 0.0000 0.6633
Tm7 0.5000 0.5000 0.1687
Tm8 0.5000 0.5000 0.5000
Tm9 0.5000 0.5000 0.8313

---

DFT (PBE) results for Pr3GaGe6Rh2 after structural relaxation.

Summary:
* energy relative to the elements: -0.329 eV/atom

Lattice parameters (Å, degrees): 5.9551 5.9551 8.5040 90.00 90.00 120.00
Element x y z (fractional)
Pr1 0.0000 0.0000 0.0000
Pr2 0.3333 0.6667 0.6126
Pr3 0.6667 0.3333 0.3874
Ga1 0.0000 0.0000 0.5000
Ge1 0.1871 0.3742 0.2703
Ge2 0.1871 0.8129 0.2703
Ge3 0.3742 0.1871 0.7297
Ge4 0.6258 0.8129 0.2703
Ge5 0.8129 0.1871 0.7297
Ge6 0.8129 0.6258 0.7297
Rh1 0.3333 0.6667 0.0322
Rh2 0.6667 0.3333 0.9678

---

DFT (PBE) results for ScZnH3 after structural relaxation.

Lattice parameters (Å, degrees): 3.5838 3.5838 3.5838 90.00 90.00 90.00
Element x y z (fractional)
Sc1 0.0000 0.0000 0.0000
Zn1 0.5000 0.5000 0.5000
H1 0.0000 0.5000 0.5000
H2 0.5000 0.0000 0.5000
H3 0.5000 0.5000 0.0000

---

DFT (PBE) results for KZr2Mo after structural relaxation.

Summary:
* relative energy among the computed polymorphs: 0.385 eV per atom
* energy relative to the elements: 0.674 eV/atom

Lattice parameters (Å, degrees): 3.0409 4.6890 8.0772 90.00 98.57 90.00
Element x y z (fractional)
K1 0.0000 0.0000 0.0000
Zr1 0.3705 0.5000 0.6424
Zr2 0.8959 0.0000 0.4490
Mo1 0.4990 0.5000 0.3370

---

DFT (PBE) results for Pa2MnGa after structural relaxation.

Summary:
* relative energy among the computed polymorphs: 0.097 eV per atom
* energy relative to the elements: -0.074 eV/atom

Lattice parameters (Å, degrees): 4.3193 4.3193 4.1222 90.00 90.00 90.00
Element x y z (fractional)
Pa1 0.0000 0.5000 0.0000
Pa2 0.5000 0.0000 0.0000
Mn1 0.0000 0.0000 0.5000
Ga1 0.5000 0.5000 0.5000

---

DFT (PBE) results for Al5Au3 after structural relaxation.

Summary:
* relative energy among the computed polymorphs: 0.067 eV per atom
* energy relative to the elements: -0.209 eV/atom

Lattice parameters (Å, degrees): 5.7706 5.7706 4.0793 90.00 90.00 96.09
Element x y z (fractional)
Al1 0.0000 0.0000 0.0000
Al2 0.0000 0.5000 0.0000
Al3 0.2802 0.2802 0.5000
Al4 0.5000 0.0000 0.0000
Al5 0.7198 0.7198 0.5000
Au1 0.2029 0.7971 0.5000
Au2 0.5000 0.5000 0.0000
Au3 0.7971 0.2029 0.5000

---

DFT (PBE) results for RbLiGa2Cl8 after structural relaxation.

Summary:
* uncorrected formation energy: -1.427 eV per atom

Lattice parameters (Å, degrees): 10.1998 10.1998 10.1998 36.81 36.81 36.81
Element x y z (fractional)
Rb1 0.0000 0.0000 0.0000
Li1 0.5000 0.5000 0.5000
Ga1 0.2445 0.2445 0.2445
Ga2 0.7555 0.7555 0.7555
Cl1 0.1078 0.4527 0.7738
Cl2 0.2262 0.8922 0.5473
Cl3 0.3221 0.3221 0.3221
Cl4 0.4527 0.7738 0.1078
Cl5 0.5473 0.2262 0.8922
Cl6 0.6779 0.6779 0.6779
Cl7 0.7738 0.1078 0.4527
Cl8 0.8922 0.5473 0.2262

---

| no. | raw total energy (eV per formula unit) | DOS at the Fermi energy (states/eV/atom) |
| --- | --- | --- |
| 1 | -25.85 | 0.025 |
| 2 | -56.10 | 1.532 |
| 3 | -63.72 | 0.401 |
| 4 | -17.11 | 0.598 |
| 5 | -26.33 | 1.234 |
| 6 | -31.48 | 1.168 |
| 7 | -30.22 | 0.220 |
| 8 | -40.83 | 0.000 |